Record 1
Below is an optimized crystal structure of ZnCuSe2, with properties calculated at the PBE-GGA level.

Cell lengths 5.638, 5.638, 11.188 Å; angles 90.00, 90.00, 90.00 degrees
Space group I-42d (No. 122)
Inequivalent atoms, fractional coordinates:
1 Zn 0.000 0.000 0.000 [4 per cell]
2 Cu 0.000 0.000 0.500 [4 per cell]
3 Se 0.238 0.250 0.625 [8 per cell]

Calculated values
DFT total energy   -3.467 eV/atom


Record 2
Below is an optimized crystal structure of ZnCuSe2, with properties calculated at the PBE-GGA level.

Cell lengths 3.482, 3.545, 7.858 Å; angles 90.00, 90.00, 90.00 degrees
Space group Pmmm (No. 47)
Inequivalent atoms, fractional coordinates:
1 Zn 0.000 0.000 0.000 [1 per cell]
2 Cu 0.000 0.500 0.500 [1 per cell]
3 Se 0.500 0.000 0.500 [1 per cell]
4 Se 0.500 0.500 0.000 [1 per cell]

Calculated values
DFT total energy   -3.079 eV/atom